Entry 1:
A plane-wave DFT calculation with PBE was carried out for a relaxed SiOs2Pb crystal.

The structure belongs to space group Pm (No. 6); the cell edges are 3.037, 4.569 and 4.975 Å and the angles 90.00°, 97.75° and 90.00°. The distinct sites, in fractional coordinates, are Si at (0.000, 0.000, 0.000), Os at (0.058, 0.500, 0.213), Os at (0.603, 0.000, 0.383) and Pb at (0.498, 0.500, 0.722).

The excess energy over the best structure of this formula in the dataset comes out at 0.941 eV/f.u.

=====

Entry 2:
A plane-wave DFT calculation with PBE was carried out for a relaxed YZn3Ag2 crystal.

The structure belongs to space group P6_3/mmc (No. 194); the cell edges are 4.4944, 4.4944 and 12.7082 Å and the angles 90.00°, 90.00° and 120.00°. The distinct sites, in fractional coordinates, are Y at (0.0000, 0.0000, 0.2500), Zn at (0.0000, 0.0000, 0.0000), Zn at (0.3333, 0.6667, 0.1350) and Ag at (0.3333, 0.6667, 0.5822).

As for the calculated formation energy: -0.218 eV per atom.

=====

| no. | DOS(E_F) (states/eV per atom) |
| --- | --- |
| 1 | 0.7038 |
| 2 | 0.3148 |